Crystalline As3CI at its relaxed geometry. Source: Alexandria via LeMat-Bulk, functional PBE.

```
As3CI
1.0
4.572 0.000 0.000
0.000 4.572 0.000
0.000 0.000 4.572
I As C
1 3 1
Direct
0.500 0.500 0.500
0.000 0.500 0.000
0.000 0.000 0.500
0.500 0.000 0.000
0.000 0.000 0.000
```

## Properties
For the mass density, the calculation gives 6.3 g/cm3. As for the symmetry: Pm-3m. For the raw formation energy, the calculation gives 1.227 eV per atom. The calculation puts the distance to the lowest polymorph of the same formula at 0.000 eV per atom.